# Sr2ZrP | Alexandria via LeMat-Bulk | GGA-PBE | optimized geometry
data_Sr2ZrP
_chemical_formula_sum 'Sr2 Zr1 P1'
_space_group_name_H-M_alt 'P 1'
_space_group_IT_number 1
_space_group_name_Hall 'P 1'
_cell_length_a 5.3009
_cell_length_b 5.3009
_cell_length_c 5.3009
_cell_angle_alpha 60.00
_cell_angle_beta 60.00
_cell_angle_gamma 60.00
loop_
_atom_site_label
_atom_site_type_symbol
_atom_site_fract_x
_atom_site_fract_y
_atom_site_fract_z
P1 P 0.5000 0.5000 0.5000
Sr1 Sr 0.7500 0.7500 0.7500
Sr2 Sr 0.0000 0.0000 0.0000
Zr1 Zr 0.2500 0.2500 0.2500
# total magnetic moment	0.243	μB per atom
# calculated volume	105.3	Å³/cell
# DOS at the Fermi energy	3.6	states/eV/cell
# energy relative to the elements	0.367	eV per atom